Version 1
A plane-wave DFT calculation with PBE was carried out for crystalline NaIn12Hg6 at its relaxed geometry.

Output
**D(E_F)**: 8.34 states/eV/f.u.
**Space group**: R-3m, No. 166
**Spin magnetization**: 0.00 μB/atom

a b c (Å): 8.642 8.642 8.642
angles (deg): 106.55 106.55 106.55
Element x y z (fractional)
1 Na 0.000 0.000 0.000
2 In 0.114 0.500 0.886
3 In 0.114 0.886 0.500
4 In 0.130 0.369 0.369
5 In 0.369 0.130 0.369
6 In 0.369 0.369 0.130
7 In 0.500 0.114 0.886
8 In 0.500 0.886 0.114
9 In 0.631 0.631 0.870
10 In 0.631 0.870 0.631
11 In 0.870 0.631 0.631
12 In 0.886 0.114 0.500
13 In 0.886 0.500 0.114
14 Hg 0.283 0.700 0.700
15 Hg 0.300 0.300 0.717
16 Hg 0.300 0.717 0.300
17 Hg 0.700 0.283 0.700
18 Hg 0.700 0.700 0.283
19 Hg 0.717 0.300 0.300

***

Version 2
A plane-wave DFT calculation with PBE was carried out for crystalline NaIn12Hg6 at its relaxed geometry.

Output
**D(E_F)**: 6.70 states/eV/f.u.
**Space group**: R-3, No. 148
**Spin magnetization**: 0.00 μB/atom

a b c (Å): 8.008 8.008 8.008
angles (deg): 92.63 92.63 92.63
Element x y z (fractional)
1 Na 0.000 0.000 0.000
2 In 0.053 0.145 0.382
3 In 0.145 0.382 0.053
4 In 0.199 0.486 0.540
5 In 0.382 0.053 0.145
6 In 0.460 0.801 0.514
7 In 0.486 0.540 0.199
8 In 0.514 0.460 0.801
9 In 0.540 0.199 0.486
10 In 0.618 0.947 0.855
11 In 0.801 0.514 0.460
12 In 0.855 0.618 0.947
13 In 0.947 0.855 0.618
14 Hg 0.129 0.747 0.266
15 Hg 0.253 0.734 0.871
16 Hg 0.266 0.129 0.747
17 Hg 0.734 0.871 0.253
18 Hg 0.747 0.266 0.129
19 Hg 0.871 0.253 0.734

***

Computed energies relative to the best structure, in meV/atom: version 1 27; version 2 0

***

Version 1
A plane-wave DFT calculation with PBE was carried out for crystalline NaInHg5 at its relaxed geometry.

Output
**D(E_F)**: 1.76 states/eV/f.u.
**Space group**: Cmcm, No. 63
**Spin magnetization**: 0.00 μB/atom

a b c (Å): 5.734 5.734 12.583
angles (deg): 90.00 90.00 68.13
Element x y z (fractional)
1 Na 0.000 0.000 0.000
2 Na 0.000 0.000 0.500
3 In 0.375 0.625 0.750
4 In 0.625 0.375 0.250
5 Hg 0.091 0.909 0.250
6 Hg 0.153 0.420 0.111
7 Hg 0.153 0.420 0.389
8 Hg 0.420 0.153 0.611
9 Hg 0.420 0.153 0.889
10 Hg 0.580 0.847 0.111
11 Hg 0.580 0.847 0.389
12 Hg 0.847 0.580 0.611
13 Hg 0.847 0.580 0.889
14 Hg 0.909 0.091 0.750

***

Version 2
A plane-wave DFT calculation with PBE was carried out for crystalline NaInHg5 at its relaxed geometry.

Output
**D(E_F)**: 3.28 states/eV/f.u.
**Space group**: Immm, No. 71
**Spin magnetization**: 0.00 μB/atom

a b c (Å): 7.975 7.975 7.975
angles (deg): 137.79 114.43 81.12
Element x y z (fractional)
1 Na 0.000 0.000 0.000
2 In 0.500 0.500 0.000
3 Hg 0.168 0.500 0.668
4 Hg 0.249 0.249 0.000
5 Hg 0.500 0.000 0.500
6 Hg 0.751 0.751 0.000
7 Hg 0.832 0.500 0.332

***

Computed energies relative to the best structure, in meV/atom: version 1 0; version 2 164

***

Version 1
A plane-wave DFT calculation with PBE was carried out for crystalline Na3InHg at its relaxed geometry.

Output
**D(E_F)**: 2.03 states/eV/f.u.
**Space group**: Pm-3m, No. 221
**Spin magnetization**: 0.00 μB/atom

a b c (Å): 5.697 5.697 5.697
angles (deg): 90.00 90.00 90.00
Element x y z (fractional)
1 Na 0.000 0.000 0.500
2 Na 0.000 0.500 0.000
3 Na 0.500 0.000 0.000
4 In 0.500 0.500 0.500
5 Hg 0.000 0.000 0.000

***

Version 2
A plane-wave DFT calculation with PBE was carried out for crystalline Na3InHg at its relaxed geometry.

Output
**D(E_F)**: 2.90 states/eV/f.u.
**Space group**: Pm-3m, No. 221
**Spin magnetization**: 0.00 μB/atom

a b c (Å): 5.974 5.974 5.974
angles (deg): 90.00 90.00 90.00
Element x y z (fractional)
1 Na 0.000 0.000 0.500
2 Na 0.000 0.500 0.000
3 Na 0.500 0.000 0.000
4 In 0.000 0.000 0.000
5 Hg 0.500 0.500 0.500

***

Version 3
A plane-wave DFT calculation with PBE was carried out for crystalline Na3InHg at its relaxed geometry.

Output
**D(E_F)**: 3.02 states/eV/f.u.
**Space group**: C2/m, No. 12
**Spin magnetization**: 0.00 μB/atom

a b c (Å): 7.355 7.355 7.854
angles (deg): 119.32 119.32 76.31
Element x y z (fractional)
1 Na 0.055 0.055 0.292
2 Na 0.107 0.483 0.815
3 Na 0.483 0.107 0.815
4 Na 0.517 0.893 0.185
5 Na 0.893 0.517 0.185
6 Na 0.945 0.945 0.708
7 In 0.416 0.416 0.597
8 In 0.584 0.584 0.403
9 Hg 0.260 0.260 0.115
10 Hg 0.740 0.740 0.885

***

Version 4
A plane-wave DFT calculation with PBE was carried out for crystalline Na3InHg at its relaxed geometry.

Output
**D(E_F)**: 2.21 states/eV/f.u.
**Space group**: P2_1/m, No. 11
**Spin magnetization**: 0.00 μB/atom

a b c (Å): 6.142 5.791 8.177
angles (deg): 90.00 103.82 90.00
Element x y z (fractional)
1 Na 0.000 0.000 0.000
2 Na 0.000 0.500 0.000
3 Na 0.345 0.250 0.409
4 Na 0.472 0.250 0.854
5 Na 0.528 0.750 0.146
6 Na 0.655 0.750 0.591
7 In 0.067 0.750 0.377
8 In 0.933 0.250 0.623
9 Hg 0.231 0.750 0.747
10 Hg 0.769 0.250 0.253

***

Computed energies relative to the best structure, in meV/atom: version 1 212; version 2 270; version 3 45; version 4 0

***

Version 1
A plane-wave DFT calculation with PBE was carried out for crystalline Na6In2Hg at its relaxed geometry.

Output
**D(E_F)**: 4.54 states/eV/f.u.
**Space group**: C2/m, No. 12
**Spin magnetization**: 0.00 μB/atom

a b c (Å): 9.294 9.294 3.974
angles (deg): 96.41 96.41 125.65
Element x y z (fractional)
1 Na 0.005 0.348 0.302
2 Na 0.192 0.192 0.827
3 Na 0.348 0.005 0.302
4 Na 0.652 0.995 0.698
5 Na 0.808 0.808 0.173
6 Na 0.995 0.652 0.698
7 In 0.358 0.642 0.000
8 In 0.642 0.358 0.000
9 Hg 0.500 0.500 0.500

***

Version 2
A plane-wave DFT calculation with PBE was carried out for crystalline Na6In2Hg at its relaxed geometry.

Output
**D(E_F)**: 3.41 states/eV/f.u.
**Space group**: R-3m, No. 166
**Spin magnetization**: 0.00 μB/atom

a b c (Å): 10.944 10.944 10.944
angles (deg): 29.21 29.21 29.21
Element x y z (fractional)
1 Na 0.078 0.078 0.078
2 Na 0.199 0.199 0.199
3 Na 0.308 0.308 0.308
4 Na 0.692 0.692 0.692
5 Na 0.801 0.801 0.801
6 Na 0.922 0.922 0.922
7 In 0.410 0.410 0.410
8 In 0.590 0.590 0.590
9 Hg 0.500 0.500 0.500

***

Computed energies relative to the best structure, in meV/atom: version 1 41; version 2 0